Computed, not measured: an optimized crystal structure of TlMo2Os at the PBE level of DFT.

Computed properties:
The value obtained for the total DFT energy (no corrections) is -33.366 eV/cell. Its space-group type is Pmmm, No. 47. Its energy of formation from the pure elements is 0.47 eV/atom. The total magnetic moment comes out at 0.00 μB per atom. The calculation puts the theoretical density at 14.29 g/cm³.

Cell lengths 2.8802, 4.0896, 5.7844 Å; angles 90.00, 90.00, 90.00 degrees
With the nearest neighbours (Å) after each atom.
Positions (direct):
Tl  0.0000  0.0000  0.0000  2 Tl 2.88, 2 Os 2.89, 8 Mo 3.00
Mo  0.5000  0.5000  0.2851  1 Mo 2.49
Mo  0.5000  0.5000  0.7149  1 Mo 2.49
Os  0.0000  0.0000  0.5000  8 Mo 2.79, 2 Os 2.88, 2 Tl 2.89